No. 1
The following is a DFT calculation (GGA-PBE) of NpPb2O5 after structural relaxation.

```
data_NpPb2O5
_cell_length_a 4.247
_cell_length_b 6.491
_cell_length_c 5.961
_cell_angle_alpha 62.78
_cell_angle_beta 89.98
_cell_angle_gamma 109.14
_symmetry_space_group_name_H-M 'P 1'
_symmetry_Int_Tables_number 1
loop_
_symmetry_equiv_pos_as_xyz
'x,y,z'
loop_
_atom_site_label
_atom_site_type_symbol
_atom_site_fract_x
_atom_site_fract_y
_atom_site_fract_z
O1 O 0.618 0.028 0.972
Pb1 Pb 0.445 0.681 0.647
O2 O 0.260 0.311 0.066
Pb2 Pb 0.791 0.375 0.298
O3 O 0.976 0.744 0.879
Np1 Np 0.118 0.028 0.972
O4 O 0.260 0.310 0.597
O5 O 0.977 0.746 0.347
```

Calculated values
total energy = -7.65 eV/atom
V = 16.98 Å³/atom

No. 2
The following is a DFT calculation (GGA-PBE) of Np5Pb3O12 after structural relaxation.

```
data_Np5Pb3O12
_cell_length_a 12.247
_cell_length_b 12.247
_cell_length_c 12.247
_cell_angle_alpha 109.47
_cell_angle_beta 109.47
_cell_angle_gamma 109.47
_symmetry_space_group_name_H-M 'P 1'
_symmetry_Int_Tables_number 1
loop_
_symmetry_equiv_pos_as_xyz
'x,y,z'
loop_
_atom_site_label
_atom_site_type_symbol
_atom_site_fract_x
_atom_site_fract_y
_atom_site_fract_z
O1 O 0.301 0.884 0.975
Np1 Np 0.000 0.500 0.000
O2 O 0.175 0.091 0.975
Pb1 Pb 0.625 0.375 0.750
O3 O 0.675 0.199 0.583
O4 O 0.909 0.083 0.884
O5 O 0.384 0.409 0.083
Pb2 Pb 0.625 0.250 0.375
O6 O 0.116 0.699 0.525
O7 O 0.909 0.825 0.525
O8 O 0.525 0.325 0.909
O9 O 0.583 0.699 0.675
O10 O 0.199 0.525 0.616
O11 O 0.025 0.409 0.825
O12 O 0.591 0.616 0.417
Np2 Np 0.125 0.375 0.250
O13 O 0.675 0.475 0.591
O14 O 0.417 0.116 0.591
O15 O 0.825 0.909 0.025
O16 O 0.025 0.616 0.699
O17 O 0.525 0.199 0.116
Np3 Np 0.375 0.250 0.125
Np4 Np 0.750 0.625 0.375
Np5 Np 0.875 0.625 0.750
Pb3 Pb 0.875 0.750 0.125
O18 O 0.301 0.417 0.825
O19 O 0.699 0.583 0.175
O20 O 0.199 0.675 0.083
Np6 Np 0.875 0.250 0.625
O21 O 0.475 0.801 0.884
Np7 Np 0.250 0.875 0.125
Pb4 Pb 0.750 0.875 0.625
O22 O 0.083 0.909 0.384
O23 O 0.975 0.591 0.175
Pb5 Pb 0.125 0.250 0.875
O24 O 0.417 0.301 0.325
Np8 Np 0.500 0.500 0.000
Pb6 Pb 0.375 0.750 0.625
O25 O 0.091 0.917 0.116
O26 O 0.325 0.525 0.409
Np9 Np 0.625 0.875 0.250
O27 O 0.616 0.025 0.199
O28 O 0.591 0.975 0.675
O29 O 0.917 0.091 0.616
O30 O 0.975 0.384 0.301
Np10 Np 0.750 0.125 0.875
Pb7 Pb 0.375 0.625 0.250
Np11 Np 0.625 0.750 0.875
O31 O 0.409 0.384 0.583
Np12 Np 0.500 0.000 0.500
O32 O 0.325 0.801 0.417
O33 O 0.801 0.325 0.917
O34 O 0.616 0.591 0.917
O35 O 0.475 0.675 0.091
O36 O 0.801 0.475 0.384
Pb8 Pb 0.250 0.125 0.375
Np13 Np 0.000 0.000 0.500
Pb9 Pb 0.875 0.125 0.250
O37 O 0.884 0.301 0.475
Np14 Np 0.000 0.000 0.000
Pb10 Pb 0.750 0.375 0.125
Np15 Np 0.500 0.000 0.000
Np16 Np 0.250 0.375 0.625
O38 O 0.175 0.083 0.699
O39 O 0.884 0.583 0.909
O40 O 0.917 0.825 0.801
O41 O 0.083 0.175 0.199
O42 O 0.091 0.175 0.475
O43 O 0.116 0.417 0.091
Np17 Np 0.125 0.750 0.375
O44 O 0.409 0.025 0.325
O45 O 0.384 0.975 0.801
O46 O 0.699 0.116 0.025
O47 O 0.825 0.917 0.301
Np18 Np 0.500 0.500 0.500
Pb11 Pb 0.125 0.875 0.750
Np19 Np 0.000 0.500 0.500
Pb12 Pb 0.250 0.625 0.875
Np20 Np 0.375 0.125 0.750
O48 O 0.583 0.884 0.409
```

Calculated values
total energy = -9.01 eV/atom
V = 17.67 Å³/atom

No. 3
The following is a DFT calculation (GGA-PBE) of Np2PbO7 after structural relaxation.

```
data_Np2PbO7
_cell_length_a 3.849
_cell_length_b 3.849
_cell_length_c 10.868
_cell_angle_alpha 79.80
_cell_angle_beta 79.80
_cell_angle_gamma 60.00
_symmetry_space_group_name_H-M 'P 1'
_symmetry_Int_Tables_number 1
loop_
_symmetry_equiv_pos_as_xyz
'x,y,z'
loop_
_atom_site_label
_atom_site_type_symbol
_atom_site_fract_x
_atom_site_fract_y
_atom_site_fract_z
Np1 Np 0.064 0.064 0.807
O1 O 0.414 0.414 0.757
O2 O 0.872 0.872 0.384
Pb1 Pb 0.500 0.500 0.500
O3 O 0.000 0.000 0.000
O4 O 0.128 0.128 0.616
O5 O 0.718 0.718 0.846
O6 O 0.586 0.586 0.243
Np2 Np 0.936 0.936 0.193
O7 O 0.282 0.282 0.154
```

Calculated values
total energy = -8.75 eV/atom
V = 13.65 Å³/atom